Record 1
# Er2Mg8Sc, optimized geometry, DFT PBE-GGA
data_Er2Mg8Sc
_cell_length_a 4.6666
_cell_length_b 4.6666
_cell_length_c 13.1639
_cell_angle_alpha 90.00
_cell_angle_beta 90.00
_cell_angle_gamma 90.00
_symmetry_space_group_name_H-M 'P 4/m m m'
_symmetry_Int_Tables_number 123
_symmetry_space_group_name_Hall '-P 4 2'
loop_
_atom_site_label
_atom_site_fract_x
_atom_site_fract_y
_atom_site_fract_z
Er1 0.0000 0.0000 0.1809
Mg1 0.0000 0.5000 0.0000
Mg2 0.0000 0.5000 0.3503
Mg3 0.5000 0.5000 0.1722
Sc1 0.0000 0.0000 0.5000
# relative energy among the computed polymorphs: 17 meV per atom
# formation energy from the elements: 84 meV/atom
# M_tot: 0.0 μB per formula unit

---

Record 2
# RbIn2HgPt, optimized geometry, DFT PBE-GGA
data_RbIn2HgPt
_cell_length_a 5.2786
_cell_length_b 5.2786
_cell_length_c 5.4937
_cell_angle_alpha 90.00
_cell_angle_beta 90.00
_cell_angle_gamma 90.00
_symmetry_space_group_name_H-M 'P 4/m m m'
_symmetry_Int_Tables_number 123
_symmetry_space_group_name_Hall '-P 4 2'
loop_
_atom_site_label
_atom_site_fract_x
_atom_site_fract_y
_atom_site_fract_z
Rb1 0.0000 0.0000 0.0000
In1 0.0000 0.5000 0.5000
Hg1 0.5000 0.5000 0.0000
Pt1 0.5000 0.5000 0.5000
# relative energy among the computed polymorphs: 0 meV per atom
# formation energy from the elements: -232 meV/atom
# M_tot: 0.0 μB per formula unit

---

Record 3
# PmMgAu4, optimized geometry, DFT PBE-GGA
data_PmMgAu4
_cell_length_a 6.3048
_cell_length_b 6.3071
_cell_length_c 7.2231
_cell_angle_alpha 90.00
_cell_angle_beta 90.11
_cell_angle_gamma 90.00
_symmetry_space_group_name_H-M 'C 1 2/m 1'
_symmetry_Int_Tables_number 12
_symmetry_space_group_name_Hall '-C 2y'
loop_
_atom_site_label
_atom_site_fract_x
_atom_site_fract_y
_atom_site_fract_z
Pm1 0.0000 0.0000 0.0000
Mg1 0.0000 0.5000 0.5000
Au1 0.2503 0.2502 0.2834
# relative energy among the computed polymorphs: 67 meV per atom
# formation energy from the elements: -427 meV/atom
# M_tot: 0.0 μB per formula unit

---

Record 4
# Al2TcAs, optimized geometry, DFT PBE-GGA
data_Al2TcAs
_cell_length_a 6.2561
_cell_length_b 6.2561
_cell_length_c 6.2561
_cell_angle_alpha 90.00
_cell_angle_beta 90.00
_cell_angle_gamma 90.00
_symmetry_space_group_name_H-M 'F -4 3 m'
_symmetry_Int_Tables_number 216
_symmetry_space_group_name_Hall 'F -4 2 3'
loop_
_atom_site_label
_atom_site_fract_x
_atom_site_fract_y
_atom_site_fract_z
Al1 0.0000 0.0000 0.0000
Al2 0.2500 0.2500 0.2500
Tc1 0.0000 0.0000 0.5000
As1 0.2500 0.2500 0.7500
# formation energy from the elements: 118 meV/atom
# M_tot: 0.0 μB per formula unit

---

Record 5
# NbAlCu2, optimized geometry, DFT PBE-GGA
data_NbAlCu2
_cell_length_a 3.8630
_cell_length_b 3.8630
_cell_length_c 3.8968
_cell_angle_alpha 90.00
_cell_angle_beta 90.00
_cell_angle_gamma 90.00
_symmetry_space_group_name_H-M 'P 4/m m m'
_symmetry_Int_Tables_number 123
_symmetry_space_group_name_Hall '-P 4 2'
loop_
_atom_site_label
_atom_site_fract_x
_atom_site_fract_y
_atom_site_fract_z
Nb1 0.0000 0.0000 0.0000
Al1 0.5000 0.5000 0.0000
Cu1 0.0000 0.5000 0.5000
# formation energy from the elements: -88 meV/atom
# M_tot: 0.0 μB per formula unit

---

Record 6
# BaSr3Li2, optimized geometry, DFT PBE-GGA
data_BaSr3Li2
_cell_length_a 4.2603
_cell_length_b 4.2603
_cell_length_c 15.0298
_cell_angle_alpha 90.00
_cell_angle_beta 90.00
_cell_angle_gamma 90.00
_symmetry_space_group_name_H-M 'P 4/m m m'
_symmetry_Int_Tables_number 123
_symmetry_space_group_name_Hall '-P 4 2'
loop_
_atom_site_label
_atom_site_fract_x
_atom_site_fract_y
_atom_site_fract_z
Ba1 0.0000 0.0000 0.0000
Sr1 0.5000 0.5000 0.2186
Sr2 0.5000 0.5000 0.5000
Li1 0.0000 0.0000 0.3595
# formation energy from the elements: 27 meV/atom
# M_tot: 0.0 μB per formula unit

---

Record 7
# PuAlZnAu, optimized geometry, DFT PBE-GGA
data_PuAlZnAu
_cell_length_a 6.8318
_cell_length_b 6.8318
_cell_length_c 6.8318
_cell_angle_alpha 90.00
_cell_angle_beta 90.00
_cell_angle_gamma 90.00
_symmetry_space_group_name_H-M 'F -4 3 m'
_symmetry_Int_Tables_number 216
_symmetry_space_group_name_Hall 'F -4 2 3'
loop_
_atom_site_label
_atom_site_fract_x
_atom_site_fract_y
_atom_site_fract_z
Pu1 0.0000 0.0000 0.0000
Al1 0.0000 0.0000 0.5000
Zn1 0.2500 0.2500 0.2500
Au1 0.2500 0.2500 0.7500
# formation energy from the elements: -277 meV/atom
# M_tot: 5.4 μB per formula unit

---

Record 8
# Sm12Ho6Pu, optimized geometry, DFT PBE-GGA
data_Sm12Ho6Pu
_cell_length_a 15.6258
_cell_length_b 15.6258
_cell_length_c 8.7796
_cell_angle_alpha 90.00
_cell_angle_beta 90.00
_cell_angle_gamma 120.00
_symmetry_space_group_name_H-M 'R -3'
_symmetry_Int_Tables_number 148
_symmetry_space_group_name_Hall '-R 3'
loop_
_atom_site_label
_atom_site_fract_x
_atom_site_fract_y
_atom_site_fract_z
Sm1 0.0354 0.2800 0.3366
Sm2 0.0730 0.5622 0.6665
Ho1 0.0170 0.1377 0.6679
Pu1 0.0000 0.0000 0.0000
# formation energy from the elements: 35 meV/atom
# M_tot: 6.6 μB per formula unit

---

Record 9
# MnFeSi, optimized geometry, DFT PBE-GGA
data_MnFeSi
_cell_length_a 5.3357
_cell_length_b 5.3357
_cell_length_c 5.3357
_cell_angle_alpha 90.00
_cell_angle_beta 90.00
_cell_angle_gamma 90.00
_symmetry_space_group_name_H-M 'F -4 3 m'
_symmetry_Int_Tables_number 216
_symmetry_space_group_name_Hall 'F -4 2 3'
loop_
_atom_site_label
_atom_site_fract_x
_atom_site_fract_y
_atom_site_fract_z
Mn1 0.0000 0.0000 0.0000
Fe1 0.2500 0.2500 0.7500
Si1 0.0000 0.0000 0.5000
# formation energy without anion corrections: -145.8 meV per atom
# M_tot: 1.0 μB per formula unit

---

Record 10
# LaTl2Co, optimized geometry, DFT PBE-GGA
data_LaTl2Co
_cell_length_a 6.0695
_cell_length_b 11.7768
_cell_length_c 3.8026
_cell_angle_alpha 90.00
_cell_angle_beta 128.06
_cell_angle_gamma 90.00
_symmetry_space_group_name_H-M 'C 1 2/m 1'
_symmetry_Int_Tables_number 12
_symmetry_space_group_name_Hall '-C 2y'
loop_
_atom_site_label
_atom_site_fract_x
_atom_site_fract_y
_atom_site_fract_z
La1 0.0000 0.0000 0.0000
Tl1 0.2500 0.2500 0.5000
Co1 0.0000 0.5000 0.0000
# formation energy from the elements: 312 meV/atom
# M_tot: 1.0 μB per formula unit

---

Record 11
# HoZn2Au7, optimized geometry, DFT PBE-GGA
data_HoZn2Au7
_cell_length_a 7.4470
_cell_length_b 13.1304
_cell_length_c 4.6308
_cell_angle_alpha 90.00
_cell_angle_beta 90.00
_cell_angle_gamma 90.00
_symmetry_space_group_name_H-M 'C m m m'
_symmetry_Int_Tables_number 65
_symmetry_space_group_name_Hall '-C 2 2'
loop_
_atom_site_label
_atom_site_fract_x
_atom_site_fract_y
_atom_site_fract_z
Ho1 0.0000 0.0000 0.0000
Zn1 0.0000 0.2992 0.5000
Au1 0.0000 0.2172 0.0000
Au2 0.0000 0.5000 0.5000
Au3 0.1860 0.1137 0.5000
# formation energy from the elements: -188 meV/atom
# M_tot: 0.0 μB per formula unit

---

Record 12
# LaPm2Ni, optimized geometry, DFT PBE-GGA
data_LaPm2Ni
_cell_length_a 3.9087
_cell_length_b 3.9087
_cell_length_c 27.9339
_cell_angle_alpha 90.00
_cell_angle_beta 90.00
_cell_angle_gamma 120.00
_symmetry_space_group_name_H-M 'R 3 m'
_symmetry_Int_Tables_number 160
_symmetry_space_group_name_Hall 'R 3 -2"'
loop_
_atom_site_label
_atom_site_fract_x
_atom_site_fract_y
_atom_site_fract_z
La1 0.0000 0.0000 0.0000
Pm1 0.0000 0.0000 0.2265
Pm2 0.0000 0.0000 0.4441
Ni1 0.0000 0.0000 0.8358
# relative energy among the computed polymorphs: 118 meV per atom
# formation energy from the elements: -69 meV/atom
# M_tot: 0.0 μB per formula unit

---

Record 13
# NdDy2Ho, optimized geometry, DFT PBE-GGA
data_NdDy2Ho
_cell_length_a 5.0482
_cell_length_b 5.0482
_cell_length_c 5.0529
_cell_angle_alpha 90.00
_cell_angle_beta 90.00
_cell_angle_gamma 90.00
_symmetry_space_group_name_H-M 'P 4/m m m'
_symmetry_Int_Tables_number 123
_symmetry_space_group_name_Hall '-P 4 2'
loop_
_atom_site_label
_atom_site_fract_x
_atom_site_fract_y
_atom_site_fract_z
Nd1 0.0000 0.0000 0.0000
Dy1 0.0000 0.5000 0.5000
Ho1 0.5000 0.5000 0.0000
# relative energy among the computed polymorphs: 14 meV per atom
# formation energy from the elements: 21 meV/atom
# M_tot: 0.0 μB per formula unit

---

Record 14
# Tl2AsPbI, optimized geometry, DFT PBE-GGA
data_Tl2AsPbI
_cell_length_a 5.9886
_cell_length_b 5.9886
_cell_length_c 5.6523
_cell_angle_alpha 90.00
_cell_angle_beta 90.00
_cell_angle_gamma 90.00
_symmetry_space_group_name_H-M 'P 4/m m m'
_symmetry_Int_Tables_number 123
_symmetry_space_group_name_Hall '-P 4 2'
loop_
_atom_site_label
_atom_site_fract_x
_atom_site_fract_y
_atom_site_fract_z
Tl1 0.0000 0.5000 0.0000
As1 0.0000 0.0000 0.0000
Pb1 0.0000 0.0000 0.5000
I1 0.5000 0.5000 0.5000
# formation energy without anion corrections: 58.9 meV per atom
# M_tot: 0.0 μB per formula unit

---

Record 15
# Ac2Y3Te8, optimized geometry, DFT PBE-GGA
data_Ac2Y3Te8
_cell_length_a 15.9733
_cell_length_b 8.9624
_cell_length_c 7.7146
_cell_angle_alpha 90.00
_cell_angle_beta 108.61
_cell_angle_gamma 90.00
_symmetry_space_group_name_H-M 'C 1 2/m 1'
_symmetry_Int_Tables_number 12
_symmetry_space_group_name_Hall '-C 2y'
loop_
_atom_site_label
_atom_site_fract_x
_atom_site_fract_y
_atom_site_fract_z
Ac1 0.2439 0.0000 0.1691
Y1 0.0000 0.2429 0.5000
Y2 0.0000 0.5000 0.0000
Te1 0.1133 0.2571 0.9066
Te2 0.1126 0.5000 0.4087
Te3 0.1198 0.0000 0.4364
# formation energy without anion corrections: -1354.1 meV per atom
# M_tot: 0.0 μB per formula unit

---

Record 16
# Np3MnTl4Se8, optimized geometry, DFT PBE-GGA
data_Np3MnTl4Se8
_cell_length_a 14.4904
_cell_length_b 8.2826
_cell_length_c 9.1452
_cell_angle_alpha 90.00
_cell_angle_beta 122.07
_cell_angle_gamma 90.00
_symmetry_space_group_name_H-M 'C 1 2/m 1'
_symmetry_Int_Tables_number 12
_symmetry_space_group_name_Hall '-C 2y'
loop_
_atom_site_label
_atom_site_fract_x
_atom_site_fract_y
_atom_site_fract_z
Np1 0.0000 0.0000 0.0000
Np2 0.2500 0.2500 0.0000
Mn1 0.0000 0.5000 0.0000
Tl1 0.0000 0.0000 0.5000
Tl2 0.0000 0.5000 0.5000
Tl3 0.2500 0.2500 0.5000
Se1 0.0142 0.2588 0.8014
Se2 0.2282 0.5000 0.1974
Se3 0.2360 0.0000 0.2073
# formation energy without anion corrections: -771.8 meV per atom
# M_tot: 8.6 μB per formula unit